(P)
# SbTe2PW

An optimized crystal structure of SbTe2PW (GGA-PBE, Alexandria via LeMat-Bulk).

abc: 5.1825 5.1825 5.3095
angles: 90.00 90.00 90.00
Closest atoms and distances in Å follow each position.
Fractional coordinates of all 5 atoms:
Te 0.5000 0.0000 0.0000  2 W 2.59
P 0.5000 0.5000 0.5000  4 Sb 3.66, 8 Te 3.71
Te 0.0000 0.5000 0.0000  2 W 2.59
W 0.0000 0.0000 0.0000  4 Te 2.59, 2 Sb 2.65
Sb 0.0000 0.0000 0.5000  2 W 2.65

(Q)
# SbTe2PW

An optimized crystal structure of SbTe2PW (GGA-PBE, Alexandria via LeMat-Bulk).

abc: 5.1438 5.1438 4.9708
angles: 90.00 90.00 90.00
Closest atoms and distances in Å follow each position.
Fractional coordinates of all 5 atoms:
Sb 0.0000 0.0000 0.5000  2 P 2.49
Te 0.5000 0.0000 0.0000  2 P 2.57
Te 0.0000 0.5000 0.0000  2 P 2.57
W 0.5000 0.5000 0.5000  8 Te 3.58, 4 Sb 3.64
P 0.0000 0.0000 0.0000  2 Sb 2.49, 4 Te 2.57

Among the structures shown above, (P) is the most stable, with the second-best lying 373 meV per atom higher.